[1]
This record from the Alexandria database describes a geometry-optimized Li12Ga6Ru structure. The functional is PBE.

a b c (Å): 9.4877 9.4877 12.0593
angles (deg): 90.00 90.00 120.00
Space group R-3 (No. 148, hexagonal axes)
Symmetry-distinct sites (fractional):
Li (0.0384, 0.8518, 0.3146) [18 per cell]
Li (0.0686, 0.2214, 0.9134) [18 per cell]
Ga (0.0359, 0.5919, 0.2050) [18 per cell]
Ru (0.0000, 0.0000, 0.5000) [3 per cell]

Computed properties:
DFT formation energy ... -0.249 eV/atom

[2]
This record from the Alexandria database describes a geometry-optimized Sb2SeBr structure. The functional is PBE.

a b c (Å): 7.378 7.378 7.378
angles (deg): 90.00 90.00 90.00
Space group F-43m (No. 216)
Symmetry-distinct sites (fractional):
Sb (0.000, 0.000, 0.000) [4 per cell]
Sb (0.250, 0.250, 0.250) [4 per cell]
Se (0.000, 0.000, 0.500) [4 per cell]
Br (0.250, 0.250, 0.750) [4 per cell]

Computed properties:
Offset from the most stable computed form ... 366 meV per atom
Uncorrected formation energy ... 0.23 eV/atom

[3]
This record from the Alexandria database describes a geometry-optimized Tb3HfSi6 structure. The functional is PBE.

a b c (Å): 11.1209 11.1209 11.0461
angles (deg): 90.00 90.00 120.00
Space group R-3c (No. 167, hexagonal axes)
Symmetry-distinct sites (fractional):
Tb (0.0000, 0.4352, 0.2500) [18 per cell]
Hf (0.0000, 0.0000, 0.0000) [6 per cell]
Si (0.0703, 0.2144, 0.3392) [36 per cell]

Computed properties:
Uncorrected formation energy ... -0.62 eV/atom

[4]
This record from the Alexandria database describes a geometry-optimized PmSc3Fe structure. The functional is PBE.

a b c (Å): 4.950 4.950 4.950
angles (deg): 90.00 90.00 90.00
Space group Pm-3m (No. 221)
Symmetry-distinct sites (fractional):
Pm (0.000, 0.000, 0.000) [1 per cell]
Sc (0.000, 0.500, 0.500) [3 per cell]
Fe (0.500, 0.500, 0.500) [1 per cell]

Computed properties:
DFT formation energy ... -0.009 eV/atom

[5]
This record from the Alexandria database describes a geometry-optimized PmScHg structure. The functional is PBE.

a b c (Å): 3.514 3.514 12.759
angles (deg): 90.00 90.00 90.00
Space group I4mm (No. 107)
Symmetry-distinct sites (fractional):
Pm (0.000, 0.000, 0.000) [2 per cell]
Sc (0.000, 0.000, 0.312) [2 per cell]
Hg (0.000, 0.000, 0.679) [2 per cell]

Computed properties:
Offset from the most stable computed form ... 3 meV per atom
DFT formation energy ... -0.277 eV/atom

[6]
This record from the Alexandria database describes a geometry-optimized Rb2SrInOs structure. The functional is PBE.

a b c (Å): 6.190 6.190 5.870
angles (deg): 90.00 90.00 90.00
Space group P4/mmm (No. 123)
Symmetry-distinct sites (fractional):
Rb (0.000, 0.500, 0.000) [2 per cell]
Sr (0.000, 0.000, 0.000) [1 per cell]
In (0.000, 0.000, 0.500) [1 per cell]
Os (0.500, 0.500, 0.500) [1 per cell]

Computed properties:
DFT formation energy ... 1.957 eV/atom

[7]
This record from the Alexandria database describes a geometry-optimized Pu4FeSn8 structure. The functional is PBE.

a b c (Å): 4.487 4.625 15.917
angles (deg): 90.00 90.00 90.00
Space group Pmm2 (No. 25)
Symmetry-distinct sites (fractional):
Pu (0.000, 0.000, 0.000) [1 per cell]
Pu (0.000, 0.500, 0.485) [1 per cell]
Pu (0.500, 0.000, 0.801) [1 per cell]
Pu (0.500, 0.500, 0.311) [1 per cell]
Fe (0.000, 0.500, 0.696) [1 per cell]
Sn (0.000, 0.000, 0.328) [1 per cell]
Sn (0.000, 0.000, 0.632) [1 per cell]
Sn (0.000, 0.500, 0.151) [1 per cell]
Sn (0.000, 0.500, 0.852) [1 per cell]
Sn (0.500, 0.000, 0.160) [1 per cell]
Sn (0.500, 0.000, 0.467) [1 per cell]
Sn (0.500, 0.500, 0.633) [1 per cell]
Sn (0.500, 0.500, 0.978) [1 per cell]

Computed properties:
DFT formation energy ... -0.239 eV/atom

[8]
This record from the Alexandria database describes a geometry-optimized Ag3PdBr7 structure. The functional is PBE.

a b c (Å): 13.839 8.031 7.302
angles (deg): 90.00 119.85 90.00
Space group Cm (No. 8)
Symmetry-distinct sites (fractional):
Ag (0.000, 0.000, 0.000) [2 per cell]
Ag (0.104, 0.276, 0.521) [4 per cell]
Pd (0.076, 0.500, 0.012) [2 per cell]
Br (0.195, 0.500, 0.829) [2 per cell]
Br (0.201, 0.279, 0.263) [4 per cell]
Br (0.452, 0.000, 0.171) [2 per cell]
Br (0.455, 0.225, 0.760) [4 per cell]
Br (0.490, 0.500, 0.357) [2 per cell]

Computed properties:
Uncorrected formation energy ... -0.26 eV/atom